1.
## La6Tm4Th (PBE-GGA)

Data for a geometry-optimized La6Tm4Th structure.

```
data_La6Tm4Th
_chemical_formula_sum 'La24 Tm16 Th4'
_cell_length_a 5.8772
_cell_length_b 9.8530
_cell_length_c 26.2308
_cell_angle_alpha 90.00
_cell_angle_beta 90.00
_cell_angle_gamma 90.00
_symmetry_space_group_name_H-M 'C m c m'
_symmetry_Int_Tables_number 63
_symmetry_space_group_name_Hall '-C 2c 2'
loop_
_atom_site_label
_atom_site_fract_x
_atom_site_fract_y
_atom_site_fract_z
La1 0.0000 0.0000 0.0000
La2 0.0000 0.0353 0.2500
La3 0.0000 0.3147 0.5962
La4 0.0000 0.3612 0.1807
Tm1 0.0000 0.0253 0.1255
Tm2 0.0000 0.3421 0.0450
Th1 0.0000 0.3058 0.7500
```

energy relative to the elements = 131.0 kJ/mol of formula units
crystal system = orthorhombic

---

2.
## BaCr2Re (PBE-GGA)

Data for a geometry-optimized BaCr2Re structure.

```
data_BaCr2Re
_chemical_formula_sum 'Ba2 Cr4 Re2'
_cell_length_a 3.2818
_cell_length_b 5.8089
_cell_length_c 10.0224
_cell_angle_alpha 90.00
_cell_angle_beta 90.00
_cell_angle_gamma 90.00
_symmetry_space_group_name_H-M 'I m m m'
_symmetry_Int_Tables_number 71
_symmetry_space_group_name_Hall '-I 2 2'
loop_
_atom_site_label
_atom_site_fract_x
_atom_site_fract_y
_atom_site_fract_z
Ba1 0.0000 0.0000 0.0000
Cr1 0.0000 0.5000 0.1844
Re1 0.0000 0.0000 0.5000
```

energy relative to the elements = 452.6 kJ/mol of formula units
crystal system = orthorhombic

---

3.
## MgReBr (PBE-GGA)

Data for a geometry-optimized MgReBr structure.

```
data_MgReBr
_chemical_formula_sum 'Mg4 Re4 Br4'
_cell_length_a 4.9976
_cell_length_b 4.9977
_cell_length_c 11.3598
_cell_angle_alpha 90.00
_cell_angle_beta 90.11
_cell_angle_gamma 90.00
_symmetry_space_group_name_H-M 'C 1 2 1'
_symmetry_Int_Tables_number 5
loop_
_symmetry_equiv_pos_as_xyz
'x,y,z'
'-x,y,-z'
'x+1/2,y+1/2,z'
'-x+1/2,y+1/2,-z'
loop_
_atom_site_label
_atom_site_fract_x
_atom_site_fract_y
_atom_site_fract_z
Mg1 0.2484 0.0000 0.2873
Re1 0.0000 0.2499 0.5000
Re2 0.0000 0.7499 0.5000
Br1 0.2481 0.5015 0.1641
```

raw formation energy = -0.216 eV/atom
crystal system = monoclinic

---

4.
## Cs6BaCl8 (PBE-GGA)

Data for a geometry-optimized Cs6BaCl8 structure.

```
data_Cs6BaCl8
_chemical_formula_sum 'Cs24 Ba4 Cl32'
_cell_length_a 14.1046
_cell_length_b 14.1046
_cell_length_c 14.1046
_cell_angle_alpha 90.00
_cell_angle_beta 90.00
_cell_angle_gamma 90.00
_symmetry_space_group_name_H-M 'F m -3 m'
_symmetry_Int_Tables_number 225
_symmetry_space_group_name_Hall '-F 4 2 3'
loop_
_atom_site_label
_atom_site_fract_x
_atom_site_fract_y
_atom_site_fract_z
Cs1 0.0000 0.2500 0.2500
Ba1 0.0000 0.0000 0.0000
Cl1 0.0000 0.0000 0.2194
Cl2 0.2500 0.2500 0.2500
```

raw formation energy = -2.078 eV/atom
crystal system = cubic

---

Values for magnetic moment, μB per cell, ordered as above
0.00, 11.84, 0.00, 0.43
Values for calculated volume, Å³/f.u., ordered as above
379.7, 95.5, 70.9, 701.5
Values for total energy, eV/f.u., ordered as above
-53.51, -28.93, -16.36, -52.99